## TaTiTlHg2 (GGA-PBE)

Data for TaTiTlHg2 after structural relaxation.

abc: 5.2660 5.3294 5.2660
angles: 90.00 90.00 90.00
Fractional coordinates of all 5 atoms:
Ti1 0.5000 0.5000 0.5000
Ta1 0.0000 0.0000 0.0000
Hg1 0.5000 0.0000 0.0000
Hg2 0.0000 0.0000 0.5000
Tl1 0.0000 0.5000 0.0000

DOS at the Fermi energy: 3.88 states/eV/cell
Final energy: -16.36 eV for the cell shown
Space-group type: P4/mmm

## TaTiZn2Hg (GGA-PBE)

Data for TaTiZn2Hg after structural relaxation.

abc: 4.6732 4.9749 4.6732
angles: 90.00 90.00 90.00
Site moments in Bohr magnetons follow the coordinates.
Fractional coordinates of all 5 atoms:
Ta1 0.5000 0.5000 0.5000  -0.31
Hg1 0.0000 0.5000 0.0000  0.07
Ti1 0.0000 0.0000 0.0000  1.01
Zn1 0.5000 0.0000 0.0000  0.11
Zn2 0.0000 0.0000 0.5000  0.05

DOS at the Fermi energy: 3.24 states/eV/cell
Final energy: -15.67 eV for the cell shown
Space-group type: P4/mmm

## TaTl2Hg (GGA-PBE)

Data for TaTl2Hg after structural relaxation.

abc: 5.7758 5.7758 5.7758
angles: 136.50 136.50 63.21
Fractional coordinates of all 4 atoms:
Tl1 0.0000 0.0000 0.0000
Tl2 0.5000 0.5000 0.0000
Hg1 0.2500 0.7500 0.5000
Ta1 0.7500 0.2500 0.5000

DOS at the Fermi energy: 2.40 states/eV/cell
Space-group type: I4/mmm
Energy above the most stable polymorph in this dataset: 237 meV/atom

## TaTl2Hg (GGA-PBE)

Data for TaTl2Hg after structural relaxation.

abc: 10.4165 10.4165 10.4165
angles: 17.90 17.90 17.90
Fractional coordinates of all 4 atoms:
Tl1 0.4968 0.4968 0.4968
Tl2 0.0032 0.0032 0.0032
Ta1 0.7500 0.7500 0.7500
Hg1 0.2500 0.2500 0.2500

DOS at the Fermi energy: 2.18 states/eV/cell
Space-group type: R-3m
Energy above the most stable polymorph in this dataset: 49 meV/atom